# Rb2FeAs2O6

Rb2FeAs2O6 after structural relaxation (PBE+U, Alexandria).

```
data_Rb2FeAs2O6
_chemical_formula_sum 'Rb2 Fe1 As2 O6'
_cell_length_a 5.889
_cell_length_b 6.002
_cell_length_c 6.729
_cell_angle_alpha 115.12
_cell_angle_beta 90.00
_cell_angle_gamma 119.38
_symmetry_space_group_name_H-M 'P 1'
_symmetry_Int_Tables_number 1
_symmetry_space_group_name_Hall 'P 1'
loop_
_atom_site_label
_atom_site_type_symbol
_atom_site_fract_x
_atom_site_fract_y
_atom_site_fract_z
Fe1 Fe 0.500 0.000 0.500
Rb1 Rb 0.287 0.573 0.823
As1 As 0.944 0.887 0.787
O1 O 0.757 0.515 0.669
O2 O 0.229 0.970 0.264
O3 O 0.243 0.485 0.331
O4 O 0.771 0.030 0.736
As2 As 0.056 0.113 0.213
O5 O 0.259 0.030 0.736
Rb2 Rb 0.713 0.427 0.177
O6 O 0.741 0.970 0.264
```

Summary:
Energy ... -5.67 eV/atom
Symmetry ... No. 12